DFT (PBE) results for SrGa6Rh4 after structural relaxation.

Output
Energy relative to the elements: -568 meV per atom
DOS at the Fermi energy: 3.13 states/eV/f.u.
Total energy: -5.04 eV/atom
Size of the total moment: 0.00 μB/f.u.

Lattice parameters (Å, degrees): 7.5064 7.5064 3.8620 90.00 90.00 120.00
Space group P-6m2 (No. 187)
Unique sites:
Sr 0.0000 0.0000 0.0000 (multiplicity 1)
Ga 0.1950 0.3900 0.5000 (multiplicity 3)
Ga 0.5321 0.0643 0.0000 (multiplicity 3)
Rh 0.3333 0.6667 0.0000 (multiplicity 1)
Rh 0.4105 0.2053 0.5000 (multiplicity 3)



DFT (PBE) results for Ni6As2H after structural relaxation.

Output
DOS at the Fermi energy: 11.62 states/eV/f.u.
Total energy: -5.24 eV/atom
Size of the total moment: 1.03 μB/f.u.

Lattice parameters (Å, degrees): 4.330 4.330 11.656 90.00 90.00 90.00
Space group P4_2/mnm (No. 136)
Unique sites:
Ni 0.198 0.198 0.000 (multiplicity 4)
Ni 0.205 0.205 0.392 (multiplicity 8)
As 0.000 0.000 0.223 (multiplicity 4)
H 0.000 0.000 0.500 (multiplicity 2)



DFT (PBE) results for Np2InB2Ir5 after structural relaxation.

Output
Energy relative to the elements: -324 meV per atom
DOS at the Fermi energy: 20.77 states/eV/f.u.
Total energy: -8.95 eV/atom
Size of the total moment: 6.84 μB/f.u.

Lattice parameters (Å, degrees): 9.737 9.737 3.284 90.00 90.00 90.00
Space group P4/mbm (No. 127)
Unique sites:
Np 0.178 0.322 0.000 (multiplicity 4)
In 0.000 0.000 0.000 (multiplicity 2)
B 0.119 0.619 0.000 (multiplicity 4)
Ir 0.000 0.500 0.500 (multiplicity 2)
Ir 0.070 0.771 0.500 (multiplicity 8)